1.
VASP calculation (PBE-GGA) on an optimized crystal structure of K2TiIr.

Computed properties:
DOS at the Fermi energy = 13.28 states/eV/f.u.
formation energy = 1.50 eV/atom

abc: 5.338 5.338 5.338
angles: 60.00 60.00 60.00
Fractional positions:
Ti  0.000  0.000  0.000
K  0.750  0.750  0.750
K  0.250  0.250  0.250
Ir  0.500  0.500  0.500


2.
VASP calculation (PBE-GGA) on an optimized crystal structure of V4Re2W.

Computed properties:
DOS at the Fermi energy = 9.27 states/eV/f.u.
formation energy = 1.34 eV/atom

abc: 4.493 4.493 6.989
angles: 71.25 71.25 90.00
Fractional positions:
V  0.199  0.199  0.602
V  0.500  0.000  0.000
V  0.801  0.801  0.398
V  0.000  0.500  0.000
Re  0.615  0.615  0.770
Re  0.385  0.385  0.230
W  0.000  0.000  0.000


3.
VASP calculation (PBE-GGA) on an optimized crystal structure of Tb5Dy4Y3.

Computed properties:
DOS at the Fermi energy = 20.07 states/eV/f.u.
formation energy = 0.24 eV/atom

abc: 5.865 8.575 9.616
angles: 105.85 72.24 70.00
Fractional positions:
Y  0.479  0.312  0.730
Y  0.521  0.688  0.270
Y  0.000  0.500  0.500
Tb  0.374  0.052  0.200
Tb  0.626  0.948  0.800
Tb  0.500  0.500  0.500
Tb  0.214  0.459  0.113
Tb  0.786  0.541  0.887
Dy  0.164  0.050  0.622
Dy  0.836  0.950  0.378
Dy  0.139  0.779  0.942
Dy  0.861  0.221  0.058


4.
VASP calculation (PBE-GGA) on an optimized crystal structure of Al2Hg.

Computed properties:
DOS at the Fermi energy = 1.03 states/eV/f.u.
formation energy = 0.26 eV/atom

abc: 5.420 5.420 5.420
angles: 108.27 108.27 111.91
Fractional positions:
Al  0.853  0.647  0.500
Al  0.353  0.853  0.207
Al  0.147  0.353  0.500
Al  0.647  0.147  0.793
Hg  0.250  0.250  0.000
Hg  0.750  0.750  0.000


Q: Look up the DOS at the Fermi energy of the first one.
A: 13.28 states/eV/f.u.